No. 1
Density functional theory data (GGA-PBE) for TlInHg2Pd after structural relaxation.

Cell: 5.3247 5.3247 5.1390 Å, 90.00 90.00 90.00°
Fractional coordinates of all 5 atoms:
Tl 0.0000 0.0000 0.0000
In 0.5000 0.5000 0.0000
Hg 0.0000 0.5000 0.5000
Hg 0.5000 0.0000 0.5000
Pd 0.5000 0.5000 0.5000

Space-group type: P4/mmm (123)
Electronic total energy (eV/atom): -2.226
Magnetic moment (μB per cell): 0.00
Fermi-level density of states (states/eV/f.u.): 2.19
ΔE_f (eV per formula unit): -0.23

=====

No. 2
Density functional theory data (GGA-PBE) for TmHgI2 after structural relaxation.

Cell: 12.3850 12.3850 12.3850 Å, 18.85 18.85 18.85°
Fractional coordinates of all 4 atoms:
Tm 0.0000 0.0000 0.0000
Hg 0.5000 0.5000 0.5000
I 0.3864 0.3864 0.3864
I 0.6136 0.6136 0.6136

Space-group type: R-3m (166)
Electronic total energy (eV/atom): -2.788
Magnetic moment (μB per cell): 0.00
Fermi-level density of states (states/eV/f.u.): 1.72
Formation energy (no corrections) (meV/atom): -819.6

=====

No. 3
Density functional theory data (GGA-PBE) for BaMgAgPb after structural relaxation.

Cell: 5.5204 5.5204 5.5204 Å, 60.00 60.00 60.00°
Fractional coordinates of all 4 atoms:
Ba 0.0000 0.0000 0.0000
Mg 0.5000 0.5000 0.5000
Ag 0.7500 0.7500 0.7500
Pb 0.2500 0.2500 0.2500

Space-group type: F-43m (216)
Electronic total energy (eV/atom): -2.723
Magnetic moment (μB per cell): 0.00
Fermi-level density of states (states/eV/f.u.): 2.36
ΔE_f (eV per formula unit): -0.81

=====

No. 4
Density functional theory data (GGA-PBE) for SnSbS after structural relaxation.

Cell: 5.3891 4.7785 7.3251 Å, 90.00 95.74 90.00°
Fractional coordinates of all 6 atoms:
Sn 0.2395 0.2500 0.3850
Sn 0.7605 0.7500 0.6150
Sb 0.1686 0.2500 0.9848
Sb 0.8314 0.7500 0.0152
S 0.2532 0.7500 0.5342
S 0.7468 0.2500 0.4658

Space-group type: P2_1/m (11)
Electronic total energy (eV/atom): -4.179
Magnetic moment (μB per cell): 0.00
Fermi-level density of states (states/eV/f.u.): 1.11
Formation energy (no corrections) (meV/atom): -94.4

=====

No. 5
Density functional theory data (GGA-PBE) for SiTc3Ir after structural relaxation.

Cell: 4.6916 4.6916 4.6916 Å, 90.00 90.00 90.00°
Fractional coordinates of all 5 atoms:
Si 0.0000 0.0000 0.0000
Tc 0.0000 0.5000 0.5000
Tc 0.5000 0.0000 0.5000
Tc 0.5000 0.5000 0.0000
Ir 0.5000 0.5000 0.5000

Space-group type: Pm-3m (221)
Electronic total energy (eV/atom): -7.208
Magnetic moment (μB per cell): 2.36
Fermi-level density of states (states/eV/f.u.): 6.29
Formation energy (no corrections) (meV/atom): 1868.6

=====

No. 6
Density functional theory data (GGA-PBE) for Rb3Bi3Pt2 after structural relaxation.

Cell: 7.0669 7.0669 17.5811 Å, 90.00 90.00 139.17°
Fractional coordinates of all 16 atoms:
Rb 0.0425 0.9575 0.6087
Rb 0.0425 0.9575 0.8913
Rb 0.3665 0.6335 0.7500
Rb 0.6335 0.3665 0.2500
Rb 0.9575 0.0425 0.1087
Rb 0.9575 0.0425 0.3913
Bi 0.3145 0.6855 0.5470
Bi 0.3145 0.6855 0.9530
Bi 0.3311 0.6689 0.2500
Bi 0.6689 0.3311 0.7500
Bi 0.6855 0.3145 0.0470
Bi 0.6855 0.3145 0.4530
Pt 0.2533 0.7467 0.1045
Pt 0.2533 0.7467 0.3955
Pt 0.7467 0.2533 0.6045
Pt 0.7467 0.2533 0.8955

Space-group type: Cmcm (63)
Electronic total energy (eV/atom): -3.634
Magnetic moment (μB per cell): 0.00
Fermi-level density of states (states/eV/f.u.): 3.48
ΔE_f (eV per formula unit): -2.45

=====

No. 7
Density functional theory data (GGA-PBE) for PrNdGa2 after structural relaxation.

Cell: 4.1864 6.1147 6.1147 Å, 43.08 90.00 90.00°
Fractional coordinates of all 4 atoms:
Pr 0.0000 0.0000 0.0000
Nd 0.5000 0.7179 0.7179
Ga 0.0000 0.2874 0.2874
Ga 0.5000 0.4284 0.4284

Space-group type: Amm2 (38)
Electronic total energy (eV/atom): -4.484
Magnetic moment (μB per cell): 0.00
Fermi-level density of states (states/eV/f.u.): 4.14
ΔE_f (eV per formula unit): -2.33

=====

No. 8
Density functional theory data (GGA-PBE) for MnTeCl2 after structural relaxation.

Cell: 12.2584 12.2584 12.2584 Å, 16.22 16.22 16.22°
Fractional coordinates of all 4 atoms:
Mn 0.0000 0.0000 0.0000
Te 0.5000 0.5000 0.5000
Cl 0.0591 0.0591 0.0591
Cl 0.9409 0.9409 0.9409

Space-group type: R-3m (166)
Electronic total energy (eV/atom): -4.122
Magnetic moment (μB per cell): 5.21
Fermi-level density of states (states/eV/f.u.): 2.32
Formation energy (no corrections) (meV/atom): -121.0